ZnTe2PtN | PBE | relaxed

Output
Spin magnetization: 0.00 μB per formula unit
E: -3.889 eV per atom
Density: 7521 kg/m3

a b c (Å): 5.647 5.647 3.668
angles (deg): 90.00 90.00 90.00
Space group P4/mmm (No. 123)
Inequivalent atoms, fractional coordinates:
Zn1 0.000 0.000 0.000
Te1 0.000 0.500 0.500
Pt1 0.500 0.500 0.500
N1 0.500 0.500 0.000

***

ZnTe2PtN | PBE | relaxed

Output
Spin magnetization: 1.31 μB per formula unit
E: -3.437 eV per atom
Density: 8468 kg/m3

a b c (Å): 5.432 5.432 3.520
angles (deg): 90.00 90.00 90.00
Space group P4/mmm (No. 123)
Inequivalent atoms, fractional coordinates:
Zn1 0.000 0.000 0.000
Te1 0.000 0.500 0.000
Pt1 0.500 0.500 0.500
N1 0.000 0.000 0.500

***

Th3Pt2N | PBE | relaxed

Output
Spin magnetization: 0.00 μB per formula unit
E: -8.201 eV per atom
Density: 12956 kg/m3

a b c (Å): 3.890 5.944 12.197
angles (deg): 90.00 90.00 90.00
Space group Immm (No. 71)
Inequivalent atoms, fractional coordinates:
Th1 0.000 0.000 0.000
Th2 0.000 0.000 0.356
Pt1 0.000 0.500 0.327
N1 0.000 0.500 0.000

***

Th2PtN | PBE | relaxed

Output
Spin magnetization: 0.00 μB per formula unit
E: -8.258 eV per atom
Density: 13077 kg/m3

a b c (Å): 3.386 3.565 14.160
angles (deg): 90.00 90.00 90.00
Space group Imm2 (No. 44)
Inequivalent atoms, fractional coordinates:
Th1 0.000 0.000 0.000
Th2 0.000 0.500 0.209
Pt1 0.000 0.500 0.825
N1 0.000 0.000 0.561

***

Th6Pt2N | PBE | relaxed

Output
Spin magnetization: 0.00 μB per formula unit
E: -8.047 eV per atom
Density: 12477 kg/m3

a b c (Å): 6.437 7.248 11.923
angles (deg): 90.00 120.74 90.00
Space group P2_1/c (No. 14)
Inequivalent atoms, fractional coordinates:
Th1 0.084 0.038 0.236
Th2 0.213 0.692 0.060
Th3 0.391 0.178 0.056
Pt1 0.338 0.113 0.750
N1 0.000 0.000 0.000

***

Th4Pt2N | PBE | relaxed

Output
Spin magnetization: 0.00 μB per formula unit
E: -7.890 eV per atom
Density: 12333 kg/m3

a b c (Å): 4.655 4.655 16.558
angles (deg): 90.00 90.00 90.00
Space group I4/mmm (No. 139)
Inequivalent atoms, fractional coordinates:
Th1 0.000 0.000 0.184
Th2 0.000 0.500 0.000
Pt1 0.000 0.000 0.347
N1 0.000 0.000 0.500

***

Th2PtN | PBE | relaxed

Output
Spin magnetization: 0.00 μB per formula unit
E: -8.438 eV per atom
Density: 12924 kg/m3

a b c (Å): 3.8182 3.8182 20.5508
angles (deg): 90.00 90.00 120.00
Space group R-3m (No. 166, hexagonal axes)
Inequivalent atoms, fractional coordinates:
Th1 0.0000 0.0000 0.2364
Pt1 0.0000 0.0000 0.0000
N1 0.0000 0.0000 0.5000

***

ThPtN | PBE | relaxed

Output
Spin magnetization: 0.00 μB per formula unit
E: -8.339 eV per atom
Density: 13752 kg/m3

a b c (Å): 8.135 3.925 6.673
angles (deg): 90.00 90.00 90.00
Space group Pnma (No. 62)
Inequivalent atoms, fractional coordinates:
Th1 0.173 0.250 0.115
Pt1 0.026 0.250 0.629
N1 0.129 0.750 0.899

***

Tm2ThPtN4 | PBE | relaxed

Output
Spin magnetization: 0.00 μB per formula unit
E: -8.044 eV per atom
Density: 11771 kg/m3

a b c (Å): 3.429 11.667 11.581
angles (deg): 90.00 90.00 90.00
Space group Cmcm (No. 63)
Inequivalent atoms, fractional coordinates:
Tm1 0.000 0.127 0.049
Th1 0.000 0.385 0.250
Pt1 0.000 0.353 0.750
N1 0.000 0.040 0.250
N2 0.000 0.219 0.624
N3 0.000 0.500 0.000

***

TiPtN2 | PBE | relaxed

Output
Spin magnetization: 0.00 μB per formula unit
E: -7.927 eV per atom
Density: 8788 kg/m3

a b c (Å): 4.671 4.671 9.385
angles (deg): 90.00 90.00 90.00
Space group I-42d (No. 122)
Inequivalent atoms, fractional coordinates:
Ti1 0.000 0.000 0.000
Pt1 0.000 0.000 0.500
N1 0.220 0.250 0.125

***

Ti5Pt2N | PBE | relaxed

Output
Spin magnetization: 0.40 μB per formula unit
E: -7.997 eV per atom
Density: 7484 kg/m3

a b c (Å): 4.080 13.547 10.333
angles (deg): 90.00 90.00 90.00
Space group Cmcm (No. 63)
Inequivalent atoms, fractional coordinates:
Ti1 0.000 0.084 0.114
Ti2 0.000 0.293 0.080
Ti3 0.000 0.297 0.750
Pt1 0.000 0.106 0.623
N1 0.000 0.201 0.250

***

Ti4PtN2 | PBE | relaxed

Output
Spin magnetization: 0.00 μB per formula unit
E: -9.088 eV per atom
Density: 7747 kg/m3

a b c (Å): 3.085 10.440 11.034
angles (deg): 90.00 90.00 90.00
Space group Cmcm (No. 63)
Inequivalent atoms, fractional coordinates:
Ti1 0.000 0.000 0.000
Ti2 0.000 0.260 0.103
Ti3 0.000 0.413 0.750
Pt1 0.000 0.109 0.750
N1 0.000 0.367 0.560